The following is a DFT calculation (PBE with a Hubbard U) of crystalline TiVO2 at its relaxed geometry.

Calculated values
Its total energy is -32.31 eV per formula unit. The energy above the lowest structure with this stoichiometry is 81 meV per atom. As for the magnetic moment: 2.35 μB/f.u.

```
data_TiVO2
_symmetry_space_group_name_H-M 'I -4 2 d'
_symmetry_Int_Tables_number 122
_symmetry_space_group_name_Hall 'I -4 2bw'
_cell_length_a 4.6544
_cell_length_b 4.6544
_cell_length_c 9.3764
_cell_angle_alpha 90.00
_cell_angle_beta 90.00
_cell_angle_gamma 90.00
loop_
_atom_site_label
_atom_site_fract_x
_atom_site_fract_y
_atom_site_fract_z
Ti1 0.0000 0.0000 0.0000
V1 0.0000 0.0000 0.5000
O1 0.2327 0.2500 0.1250
```